Density functional theory data (GGA-PBE) for Pm6S5F after structural relaxation.

Results
symmetry = No. 12
formation energy (no corrections) = -2.055 eV/atom
total magnetic moment = 0.00 μB/atom

Unit cell a=6.8918 b=6.8918 c=6.9266 alpha=99.53 beta=99.53 gamma=119.41
Closest atoms and distances in Å follow each position.
Positions (direct):
Pm 0.0737 0.4152 0.7454  5 S 2.77-2.83, 1 F 2.89
Pm 0.2436 0.2436 0.2571  5 S 2.75-2.83, 1 F 2.90
Pm 0.4152 0.0737 0.7454  5 S 2.77-2.83, 1 F 2.89
Pm 0.5848 0.9263 0.2546  5 S 2.77-2.83, 1 F 2.89
Pm 0.7564 0.7564 0.7429  5 S 2.75-2.83, 1 F 2.90
Pm 0.9263 0.5848 0.2546  5 S 2.77-2.83, 1 F 2.89
S 0.0000 0.0000 0.5000  6 Pm 2.75-2.83
S 0.1667 0.8333 0.0000  6 Pm 2.82-2.83
S 0.3338 0.6662 0.5000  6 Pm 2.77-2.83
S 0.6662 0.3338 0.5000  6 Pm 2.77-2.83
S 0.8333 0.1667 0.0000  6 Pm 2.82-2.83
F 0.5000 0.5000 0.0000  6 Pm 2.89-2.90

---

Density functional theory data (GGA-PBE) for PmS6F2 after structural relaxation.

Results
symmetry = No. 2
formation energy (no corrections) = -1.147 eV/atom
total magnetic moment = 0.00 μB/atom

Unit cell a=3.6936 b=7.8716 c=8.7812 alpha=115.02 beta=97.06 gamma=93.88
Closest atoms and distances in Å follow each position.
Positions (direct):
Pm 0.0000 0.0000 0.0000  4 F 2.28
S 0.0477 0.5343 0.2432  2 S 1.94-2.02
S 0.1608 0.3368 0.3254  1 S 2.02
S 0.1647 0.7892 0.4255  1 S 1.94
S 0.8353 0.2108 0.5745  1 S 1.94
S 0.8392 0.6632 0.6746  1 S 2.02
S 0.9523 0.4657 0.7568  2 S 1.94-2.02
F 0.4942 0.1136 0.9213  2 Pm 2.28
F 0.5058 0.8864 0.0787  2 Pm 2.28

---

Density functional theory data (GGA-PBE) for PmSF after structural relaxation.

Results
symmetry = No. 216
formation energy (no corrections) = -2.819 eV/atom
total magnetic moment = 0.00 μB/atom

Unit cell a=6.3261 b=6.3261 c=6.3261 alpha=90.00 beta=90.00 gamma=90.00
Closest atoms and distances in Å follow each position.
Positions (direct):
Pm 0.0000 0.0000 0.0000  4 F 2.74, 4 S 2.74
Pm 0.0000 0.5000 0.5000  4 F 2.74, 4 S 2.74
Pm 0.5000 0.0000 0.5000  4 F 2.74, 4 S 2.74
Pm 0.5000 0.5000 0.0000  4 F 2.74, 4 S 2.74
S 0.2500 0.2500 0.7500  4 Pm 2.74
S 0.2500 0.7500 0.2500  4 Pm 2.74
S 0.7500 0.2500 0.2500  4 Pm 2.74
S 0.7500 0.7500 0.7500  4 Pm 2.74
F 0.2500 0.2500 0.2500  4 Pm 2.74
F 0.2500 0.7500 0.7500  4 Pm 2.74
F 0.7500 0.2500 0.7500  4 Pm 2.74
F 0.7500 0.7500 0.2500  4 Pm 2.74

---

Density functional theory data (GGA-PBE) for Pm2SbF after structural relaxation.

Results
symmetry = No. 166
formation energy (no corrections) = -1.636 eV/atom
total magnetic moment = 0.00 μB/atom

Unit cell a=4.1698 b=4.1698 c=19.8984 alpha=90.00 beta=90.00 gamma=120.00
Closest atoms and distances in Å follow each position.
Positions (direct):
Pm 0.0000 0.0000 0.2370  3 F 2.78, 3 Sb 3.08
Pm 0.0000 0.0000 0.7630  3 F 2.78, 3 Sb 3.08
Pm 0.3333 0.6667 0.4296  3 F 2.78, 3 Sb 3.08
Pm 0.3333 0.6667 0.9037  3 F 2.78, 3 Sb 3.08
Pm 0.6667 0.3333 0.0963  3 F 2.78, 3 Sb 3.08
Pm 0.6667 0.3333 0.5704  3 F 2.78, 3 Sb 3.08
Sb 0.0000 0.0000 0.0000  6 Pm 3.08
Sb 0.3333 0.6667 0.6667  6 Pm 3.08
Sb 0.6667 0.3333 0.3333  6 Pm 3.08
F 0.0000 0.0000 0.5000  6 Pm 2.78
F 0.3333 0.6667 0.1667  6 Pm 2.78
F 0.6667 0.3333 0.8333  6 Pm 2.78

---

Density functional theory data (GGA-PBE) for Pm2SbF after structural relaxation.

Results
symmetry = No. 225
formation energy (no corrections) = -1.456 eV/atom
total magnetic moment = 0.00 μB/atom

Unit cell a=7.3424 b=7.3424 c=7.3424 alpha=90.00 beta=90.00 gamma=90.00
Closest atoms and distances in Å follow each position.
Positions (direct):
Pm 0.2500 0.2500 0.2500  4 Sb 3.18, 4 F 3.18
Pm 0.2500 0.2500 0.7500  4 F 3.18, 4 Sb 3.18
Pm 0.2500 0.7500 0.2500  4 F 3.18, 4 Sb 3.18
Pm 0.2500 0.7500 0.7500  4 Sb 3.18, 4 F 3.18
Pm 0.7500 0.2500 0.2500  4 F 3.18, 4 Sb 3.18
Pm 0.7500 0.2500 0.7500  4 Sb 3.18, 4 F 3.18
Pm 0.7500 0.7500 0.2500  4 Sb 3.18, 4 F 3.18
Pm 0.7500 0.7500 0.7500  4 F 3.18, 4 Sb 3.18
Sb 0.0000 0.0000 0.0000  8 Pm 3.18
Sb 0.0000 0.5000 0.5000  8 Pm 3.18
Sb 0.5000 0.0000 0.5000  8 Pm 3.18
Sb 0.5000 0.5000 0.0000  8 Pm 3.18
F 0.0000 0.0000 0.5000  8 Pm 3.18
F 0.0000 0.5000 0.0000  8 Pm 3.18
F 0.5000 0.0000 0.0000  8 Pm 3.18
F 0.5000 0.5000 0.5000  8 Pm 3.18

---

Density functional theory data (GGA-PBE) for Pm2SbF after structural relaxation.

Results
symmetry = No. 123
formation energy (no corrections) = -1.364 eV/atom
total magnetic moment = 0.00 μB/atom

Unit cell a=5.0679 b=5.0679 c=3.8886 alpha=90.00 beta=90.00 gamma=90.00
Closest atoms and distances in Å follow each position.
Positions (direct):
Pm 0.0000 0.5000 0.0000  4 F 3.19, 4 Sb 3.19
Pm 0.5000 0.0000 0.0000  4 F 3.19, 4 Sb 3.19
Sb 0.0000 0.0000 0.5000  8 Pm 3.19
F 0.5000 0.5000 0.5000  8 Pm 3.19